# Ba2RuRhS (PBEsol, optimized geometry)
data_Ba2RuRhS
_symmetry_space_group_name_H-M 'P 4/m m m'
_symmetry_Int_Tables_number 123
_symmetry_space_group_name_Hall '-P 4 2'
_cell_length_a 5.778
_cell_length_b 5.778
_cell_length_c 4.448
_cell_angle_alpha 90.00
_cell_angle_beta 90.00
_cell_angle_gamma 90.00
loop_
_atom_site_label
_atom_site_type_symbol
_atom_site_fract_x
_atom_site_fract_y
_atom_site_fract_z
Ba1 Ba 0.000 0.500 0.000
Ru1 Ru 0.000 0.000 0.000
Rh1 Rh 0.000 0.000 0.500
S1 S 0.500 0.500 0.500
# D(E_F), states/eV/cell: 3.95
# Energy relative to the elements, uncorrected, eV per atom: 0.0582